VASP calculation (GGA-PBE) on LiPm3Te2Br6 after structural relaxation.

The structure in POSCAR format:
```
LiPm3Te2Br6
1.0
6.731 0.000 0.562
0.000 8.629 0.000
-0.209 -4.314 7.305
Li Pm Te Br
1 3 2 6
Cartesian
3.365 0.000 0.281
0.000 4.314 0.000
3.261 2.157 3.933
3.261 -2.157 3.933
1.439 4.314 2.722
5.083 0.000 5.145
4.972 2.147 1.526
1.550 2.168 6.341
4.659 4.314 5.356
1.864 0.000 2.511
1.550 -2.168 6.341
4.972 6.482 1.526
```

Results
**Theoretical density**: 4594 kg/m³
**Calculated volume**: 425.3 Å³ per cell
**Energy**: -51.86 eV per formula unit
**Total magnetic moment**: 0.00 μB/cell



VASP calculation (GGA-PBE) on LiPmTeBr after structural relaxation.

The structure in POSCAR format:
```
LiPmTeBr
1.0
4.323 0.000 0.000
2.162 3.744 0.000
2.162 1.248 14.831
Li Pm Te Br
2 2 2 2
Cartesian
6.485 3.744 8.388
2.162 1.248 6.443
4.323 2.496 3.557
4.323 2.496 11.273
2.162 1.248 9.320
6.485 3.744 5.511
6.485 3.744 12.996
2.162 1.248 1.834
```

Results
**Theoretical density**: 4973 kg/m³
**Calculated volume**: 240.0 Å³ per cell
**Energy**: -16.69 eV per formula unit
**Total magnetic moment**: 0.00 μB/cell



VASP calculation (GGA-PBE) on LiPmTl2Br6 after structural relaxation.

The structure in POSCAR format:
```
LiPmTl2Br6
1.0
7.637 0.000 0.007
0.000 7.971 0.000
0.080 0.000 10.910
Li Pm Tl Br
2 2 4 12
Cartesian
3.818 0.000 0.004
0.040 3.985 5.455
3.859 0.000 5.459
0.000 3.985 0.000
0.187 7.395 2.768
4.045 4.561 8.226
7.530 0.576 8.149
3.672 3.410 2.691
2.330 5.610 0.500
6.189 6.346 5.959
5.387 2.361 10.417
1.528 1.625 4.958
2.318 5.584 4.960
6.177 6.373 10.418
5.399 2.387 5.957
1.541 1.598 0.499
6.955 4.124 2.800
3.177 7.833 8.251
0.762 3.847 8.117
4.540 0.138 2.666
```

Results
**Theoretical density**: 5201 kg/m³
**Calculated volume**: 664.1 Å³ per cell
**Energy**: -35.47 eV per formula unit
**Total magnetic moment**: 0.00 μB/cell



VASP calculation (GGA-PBE) on Li2PmTlBr6 after structural relaxation.

The structure in POSCAR format:
```
Li2PmTlBr6
1.0
-3.769 4.778 4.142
-7.290 -0.713 0.733
-2.769 -2.537 6.949
Li Pm Tl Br
2 1 1 6
Cartesian
-6.958 0.948 5.661
-2.797 -2.426 6.797
-3.649 1.199 1.839
-10.507 1.728 8.071
-4.808 2.115 4.327
-8.199 -0.008 3.356
-8.465 3.286 5.811
-8.748 -0.835 7.134
-6.142 1.526 8.411
-5.164 -1.307 6.171
```

Results
**Theoretical density**: 4479 kg/m³
**Calculated volume**: 312.4 Å³ per cell
**Energy**: -36.10 eV per formula unit
**Total magnetic moment**: 0.00 μB/cell